1.
The following is a DFT calculation (PBE-GGA) of a relaxed BaNaHfSe2 crystal.

Results
Magnetic moment, μB per atom: 0.2539
ΔE_f (raw), kJ per mole of atoms: 24.8

a b c (Å): 5.292 5.181 5.292
angles (deg): 90.00 90.00 90.00
Fractional coordinates of all 5 atoms:
Se (0.500, 0.000, 0.000)
Se (0.000, 0.000, 0.500)
Na (0.000, 0.000, 0.000)
Ba (0.000, 0.500, 0.000)
Hf (0.500, 0.500, 0.500)

=====

2.
The following is a DFT calculation (PBE-GGA) of a relaxed CaTlAs crystal.

Results
Magnetic moment, μB per atom: 0.0000
Distance to the lowest polymorph of the same formula, meV per atom: 184.6

a b c (Å): 5.455 5.455 5.455
angles (deg): 134.43 134.43 66.41
Fractional coordinates of all 3 atoms:
As (0.010, 0.010, 0.000)
Tl (0.333, 0.333, 0.000)
Ca (0.657, 0.657, 0.000)

=====

Raw total energy, respectively: -3.78; -3.42 eV/atom.